Entry 1:
! GdHo2Th GGA-PBE optimized geometry; values from VASP
&SYSTEM
  ibrav = 0, nat = 4, ntyp = 3
/
ATOMIC_SPECIES
Gd 157.25 Gd.upf
Ho 164.93 Ho.upf
Th 232.04 Th.upf
CELL_PARAMETERS angstrom
-2.867 -3.985 -2.811
2.151 -5.208 -0.502
-2.345 -4.312 2.812
ATOMIC_POSITIONS crystal
Gd 0.500 0.500 0.500
Ho 0.250 0.250 0.250
Ho 0.750 0.750 0.750
Th 0.000 0.000 0.000
! E_form ... 12.7 kJ per mole of atoms
! Symmetry ... Fm-3m (225)
! Total magnetization ... 7.50 μB/f.u.
! Fermi-level density of states ... 7.73 states/eV per cell
! Density ... 9.327 g/cm3

Entry 2:
! TcPHOs GGA-PBE optimized geometry; values from VASP
&SYSTEM
  ibrav = 0, nat = 4, ntyp = 4
/
ATOMIC_SPECIES
Tc 98.00 Tc.upf
P 30.97 P.upf
H 1.01 H.upf
Os 190.23 Os.upf
CELL_PARAMETERS angstrom
2.821 0.000 0.000
0.000 2.821 0.000
0.000 0.000 5.744
ATOMIC_POSITIONS crystal
Tc 0.500 0.500 0.240
P 0.500 0.500 0.657
H 0.000 0.000 0.314
Os 0.000 0.000 0.905
! E ... -30.4 eV per cell
! Symmetry ... P4mm (99)
! Total magnetization ... 0.00 μB/f.u.
! Fermi-level density of states ... 2.89 states/eV per cell
! Density ... 11.630 g/cm3

Entry 3:
! TaNbPd2S GGA-PBE optimized geometry; values from VASP
&SYSTEM
  ibrav = 0, nat = 5, ntyp = 4
/
ATOMIC_SPECIES
Nb 92.91 Nb.upf
S 32.06 S.upf
Pd 106.42 Pd.upf
Ta 180.95 Ta.upf
CELL_PARAMETERS angstrom
4.431 0.000 0.000
0.000 4.605 0.000
0.000 0.000 4.431
ATOMIC_POSITIONS crystal
Nb 0.500 0.500 0.500
S 0.000 0.000 0.000
Pd 0.000 0.000 0.500
Pd 0.500 0.000 0.000
Ta 0.000 0.500 0.000
! E ... -35.3 eV per cell
! Symmetry ... P4/mmm (123)
! Total magnetization ... 0.00 μB/f.u.
! Fermi-level density of states ... 4.04 states/eV per cell
! Density ... 9.527 g/cm3

Entry 4:
! Er5Tl2Cu GGA-PBE optimized geometry; values from VASP
&SYSTEM
  ibrav = 0, nat = 16, ntyp = 3
/
ATOMIC_SPECIES
Er 167.26 Er.upf
Tl 204.38 Tl.upf
Cu 63.55 Cu.upf
CELL_PARAMETERS angstrom
4.926 0.000 0.000
0.000 6.715 0.000
0.000 0.000 12.680
ATOMIC_POSITIONS crystal
Er 0.000 0.000 0.500
Er 0.000 0.500 0.000
Er 0.000 0.894 0.219
Er 0.000 0.106 0.781
Er 0.000 0.606 0.719
Er 0.000 0.394 0.281
Er 0.500 0.675 0.403
Er 0.500 0.325 0.597
Er 0.500 0.825 0.903
Er 0.500 0.175 0.097
Tl 0.500 0.639 0.149
Tl 0.500 0.361 0.851
Tl 0.500 0.861 0.649
Tl 0.500 0.139 0.351
Cu 0.000 0.500 0.500
Cu 0.000 0.000 0.000
! E_form ... -23.5 kJ per mole of atoms
! Symmetry ... Pbam (55)
! Total magnetization ... 0.00 μB/f.u.
! Fermi-level density of states ... 14.11 states/eV per cell
! Density ... 10.363 g/cm3

Entry 5:
! Tc2P GGA-PBE optimized geometry; values from VASP
&SYSTEM
  ibrav = 0, nat = 6, ntyp = 2
/
ATOMIC_SPECIES
Tc 98.00 Tc.upf
P 30.97 P.upf
CELL_PARAMETERS angstrom
3.978 -2.829 -1.451
-0.722 -4.783 -1.590
0.633 -1.172 -4.915
ATOMIC_POSITIONS crystal
Tc 0.625 0.125 0.125
Tc 0.125 0.625 0.125
Tc 0.125 0.125 0.625
Tc 0.125 0.125 0.125
P 0.500 0.500 0.500
P 0.750 0.750 0.750
! E_form ... 73.4 kJ per mole of atoms
! Symmetry ... Fd-3m (227)
! Total magnetization ... 0.00 μB/f.u.
! Fermi-level density of states ... 7.13 states/eV per cell
! Density ... 8.074 g/cm3

Entry 6:
! KRePb2 GGA-PBE optimized geometry; values from VASP
&SYSTEM
  ibrav = 0, nat = 4, ntyp = 3
/
ATOMIC_SPECIES
K 39.10 K.upf
Pb 207.20 Pb.upf
Re 186.21 Re.upf
CELL_PARAMETERS angstrom
5.202 0.024 0.041
4.127 3.167 0.041
2.974 1.017 7.609
ATOMIC_POSITIONS crystal
K 0.183 0.183 0.266
Pb 0.017 0.017 0.943
Pb 0.800 0.800 0.611
Re 0.500 0.500 0.680
! E_form ... 68.5 kJ per mole of atoms
! Symmetry ... Cm (8)
! Total magnetization ... 0.00 μB/f.u.
! Fermi-level density of states ... 2.54 states/eV per cell
! Density ... 8.556 g/cm3